# PBE HgAsPt3, relaxed
# Final energy, eV per atom: -4.205
# E_form, eV/atom: 0.4102
data_HgAsPt3
_chemical_formula_sum 'Hg1 As1 Pt3'
_symmetry_space_group_name_H-M 'P 1'
_symmetry_Int_Tables_number 1
_cell_length_a 4.6936
_cell_length_b 4.6936
_cell_length_c 4.6936
_cell_angle_alpha 90.00
_cell_angle_beta 90.00
_cell_angle_gamma 90.00
loop_
_symmetry_equiv_pos_as_xyz
'x,y,z'
loop_
_atom_site_label
_atom_site_type_symbol
_atom_site_fract_x
_atom_site_fract_y
_atom_site_fract_z
_atom_site_occupancy
Hg1 Hg 0.0000 0.0000 0.0000 1
As1 As 0.5000 0.5000 0.5000 1
Pt1 Pt 0.0000 0.5000 0.5000 1
Pt2 Pt 0.5000 0.0000 0.5000 1
Pt3 Pt 0.5000 0.5000 0.0000 1

---

# PBE LaSmDy2Sc2, relaxed
# Final energy, eV per atom: -4.975
# E_form, eV/atom: 0.2771
data_LaSmDy2Sc2
_chemical_formula_sum 'La2 Sm2 Dy4 Sc4'
_symmetry_space_group_name_H-M 'P 1'
_symmetry_Int_Tables_number 1
_cell_length_a 6.2962
_cell_length_b 17.7043
_cell_length_c 3.3490
_cell_angle_alpha 90.00
_cell_angle_beta 90.00
_cell_angle_gamma 90.00
loop_
_symmetry_equiv_pos_as_xyz
'x,y,z'
loop_
_atom_site_label
_atom_site_type_symbol
_atom_site_fract_x
_atom_site_fract_y
_atom_site_fract_z
_atom_site_occupancy
La1 La 0.0000 0.0000 0.0000 1
La2 La 0.5000 0.5000 0.5000 1
Sm1 Sm 0.0000 0.5000 0.0000 1
Sm2 Sm 0.5000 0.0000 0.5000 1
Dy1 Dy 0.2112 0.1945 0.0000 1
Dy2 Dy 0.2888 0.6945 0.5000 1
Dy3 Dy 0.7112 0.3055 0.5000 1
Dy4 Dy 0.7888 0.8055 0.0000 1
Sc1 Sc 0.2086 0.3541 0.5000 1
Sc2 Sc 0.2914 0.8541 0.0000 1
Sc3 Sc 0.7086 0.1459 0.0000 1
Sc4 Sc 0.7914 0.6459 0.5000 1

---

# PBE Tb2PmGd, relaxed
# Final energy, eV per atom: -6.902
# E_form, eV/atom: 0.1209
data_Tb2PmGd
_chemical_formula_sum 'Tb2 Pm1 Gd1'
_symmetry_space_group_name_H-M 'P 1'
_symmetry_Int_Tables_number 1
_cell_length_a 5.7158
_cell_length_b 5.7158
_cell_length_c 5.7158
_cell_angle_alpha 60.00
_cell_angle_beta 60.00
_cell_angle_gamma 60.00
loop_
_symmetry_equiv_pos_as_xyz
'x,y,z'
loop_
_atom_site_label
_atom_site_type_symbol
_atom_site_fract_x
_atom_site_fract_y
_atom_site_fract_z
_atom_site_occupancy
Tb1 Tb 0.2500 0.2500 0.2500 1
Tb2 Tb 0.7500 0.7500 0.7500 1
Pm1 Pm 0.0000 0.0000 0.0000 1
Gd1 Gd 0.5000 0.5000 0.5000 1

---

# PBE HoEr4Al2, relaxed
# Final energy, eV per atom: -4.355
# E_form, eV/atom: -0.0243
data_HoEr4Al2
_chemical_formula_sum 'Ho1 Er4 Al2'
_symmetry_space_group_name_H-M 'P 1'
_symmetry_Int_Tables_number 1
_cell_length_a 7.6729
_cell_length_b 6.5664
_cell_length_c 6.1601
_cell_angle_alpha 74.08
_cell_angle_beta 55.38
_cell_angle_gamma 50.54
loop_
_symmetry_equiv_pos_as_xyz
'x,y,z'
loop_
_atom_site_label
_atom_site_type_symbol
_atom_site_fract_x
_atom_site_fract_y
_atom_site_fract_z
_atom_site_occupancy
Ho1 Ho 0.0000 0.0000 0.0000 1
Er1 Er 0.2500 0.2500 0.2500 1
Er2 Er 0.3390 0.6610 0.3390 1
Er3 Er 0.6610 0.3390 0.6610 1
Er4 Er 0.7500 0.7500 0.7500 1
Al1 Al 0.2712 0.2712 0.7288 1
Al2 Al 0.7288 0.7288 0.2712 1

---

# PBE SrAl6Ge4, relaxed
# Final energy, eV per atom: -3.922
# E_form, eV/atom: -0.0489
data_SrAl6Ge4
_chemical_formula_sum 'Sr1 Al6 Ge4'
_symmetry_space_group_name_H-M 'P 1'
_symmetry_Int_Tables_number 1
_cell_length_a 13.9495
_cell_length_b 13.9495
_cell_length_c 13.9495
_cell_angle_alpha 163.04
_cell_angle_beta 163.04
_cell_angle_gamma 24.08
loop_
_symmetry_equiv_pos_as_xyz
'x,y,z'
loop_
_atom_site_label
_atom_site_type_symbol
_atom_site_fract_x
_atom_site_fract_y
_atom_site_fract_z
_atom_site_occupancy
Sr1 Sr 0.0000 0.0000 0.0000 1
Al1 Al 0.1191 0.6191 0.5000 1
Al2 Al 0.2500 0.7500 0.5000 1
Al3 Al 0.3809 0.8809 0.5000 1
Al4 Al 0.6191 0.1191 0.5000 1
Al5 Al 0.7500 0.2500 0.5000 1
Al6 Al 0.8809 0.3809 0.5000 1
Ge1 Ge 0.1831 0.1831 0.0000 1
Ge2 Ge 0.4403 0.4403 0.0000 1
Ge3 Ge 0.5597 0.5597 0.0000 1
Ge4 Ge 0.8169 0.8169 0.0000 1

---

# PBE K2LiSe, relaxed
# Final energy, eV per atom: -2.629
# E_form (uncorrected), kcal/mol of atoms: -16.84
data_K2LiSe
_chemical_formula_sum 'K2 Li1 Se1'
_symmetry_space_group_name_H-M 'P 1'
_symmetry_Int_Tables_number 1
_cell_length_a 4.4495
_cell_length_b 7.0343
_cell_length_c 7.0343
_cell_angle_alpha 41.02
_cell_angle_beta 90.00
_cell_angle_gamma 90.00
loop_
_symmetry_equiv_pos_as_xyz
'x,y,z'
loop_
_atom_site_label
_atom_site_type_symbol
_atom_site_fract_x
_atom_site_fract_y
_atom_site_fract_z
_atom_site_occupancy
K1 K 0.0000 0.0000 0.0000 1
K2 K 0.5000 0.2853 0.2853 1
Li1 Li 0.0000 0.6651 0.6651 1
Se1 Se 0.5000 0.5822 0.5822 1

---

# PBE Pm8Pr2Tl, relaxed
# Final energy, eV per atom: -4.578
# E_form, eV/atom: -0.0386
data_Pm8Pr2Tl
_chemical_formula_sum 'Pm8 Pr2 Tl1'
_symmetry_space_group_name_H-M 'P 1'
_symmetry_Int_Tables_number 1
_cell_length_a 9.5946
_cell_length_b 9.5946
_cell_length_c 8.1194
_cell_angle_alpha 104.74
_cell_angle_beta 104.74
_cell_angle_gamma 30.74
loop_
_symmetry_equiv_pos_as_xyz
'x,y,z'
loop_
_atom_site_label
_atom_site_type_symbol
_atom_site_fract_x
_atom_site_fract_y
_atom_site_fract_z
_atom_site_occupancy
Pm1 Pm 0.0439 0.0439 0.2258 1
Pm2 Pm 0.1358 0.1358 0.6769 1
Pm3 Pm 0.3218 0.3218 0.5914 1
Pm4 Pm 0.4112 0.4112 0.0588 1
Pm5 Pm 0.5888 0.5888 0.9412 1
Pm6 Pm 0.6782 0.6782 0.4086 1
Pm7 Pm 0.8642 0.8642 0.3231 1
Pm8 Pm 0.9561 0.9561 0.7742 1
Pr1 Pr 0.2232 0.2232 0.1355 1
Pr2 Pr 0.7768 0.7768 0.8645 1
Tl1 Tl 0.5000 0.5000 0.5000 1

---

# PBE ThZn7Cu5, relaxed
# Final energy, eV per atom: -2.994
# E_form, eV/atom: -0.1614
data_ThZn7Cu5
_chemical_formula_sum 'Th1 Zn7 Cu5'
_symmetry_space_group_name_H-M 'P 1'
_symmetry_Int_Tables_number 1
_cell_length_a 6.7614
_cell_length_b 6.7614
_cell_length_c 6.7614
_cell_angle_alpha 137.17
_cell_angle_beta 97.41
_cell_angle_gamma 97.91
loop_
_symmetry_equiv_pos_as_xyz
'x,y,z'
loop_
_atom_site_label
_atom_site_type_symbol
_atom_site_fract_x
_atom_site_fract_y
_atom_site_fract_z
_atom_site_occupancy
Th1 Th 0.0000 0.0000 0.0000 1
Zn1 Zn 0.2146 0.4946 0.7199 1
Zn2 Zn 0.3404 0.9879 0.3525 1
Zn3 Zn 0.3468 0.3468 0.0000 1
Zn4 Zn 0.6354 0.9879 0.6475 1
Zn5 Zn 0.6458 0.6458 0.0000 1
Zn6 Zn 0.7693 0.2693 0.5000 1
Zn7 Zn 0.7747 0.4946 0.2801 1
Cu1 Cu 0.2150 0.7150 0.5000 1
Cu2 Cu 0.4921 0.4925 0.4991 1
Cu3 Cu 0.4921 0.9930 0.9996 1
Cu4 Cu 0.9934 0.4925 0.0004 1
Cu5 Cu 0.9934 0.9930 0.5009 1

---

# PBE NdTm2Ir, relaxed
# Final energy, eV per atom: -6.180
# E_form, eV/atom: -0.5374
data_NdTm2Ir
_chemical_formula_sum 'Nd2 Tm4 Ir2'
_symmetry_space_group_name_H-M 'P 1'
_symmetry_Int_Tables_number 1
_cell_length_a 6.4461
_cell_length_b 6.4461
_cell_length_c 9.0398
_cell_angle_alpha 90.00
_cell_angle_beta 90.00
_cell_angle_gamma 145.16
loop_
_symmetry_equiv_pos_as_xyz
'x,y,z'
loop_
_atom_site_label
_atom_site_type_symbol
_atom_site_fract_x
_atom_site_fract_y
_atom_site_fract_z
_atom_site_occupancy
Nd1 Nd 0.0684 0.9316 0.7500 1
Nd2 Nd 0.9316 0.0684 0.2500 1
Tm1 Tm 0.3553 0.6447 0.5664 1
Tm2 Tm 0.3553 0.6447 0.9336 1
Tm3 Tm 0.6447 0.3553 0.0664 1
Tm4 Tm 0.6447 0.3553 0.4336 1
Ir1 Ir 0.2477 0.7523 0.2500 1
Ir2 Ir 0.7523 0.2477 0.7500 1

---

# PBE La2NdCu, relaxed
# Final energy, eV per atom: -4.742
# E_form, eV/atom: -0.0621
data_La2NdCu
_chemical_formula_sum 'La8 Nd4 Cu4'
_symmetry_space_group_name_H-M 'P 1'
_symmetry_Int_Tables_number 1
_cell_length_a 7.1637
_cell_length_b 10.3748
_cell_length_c 6.6334
_cell_angle_alpha 90.00
_cell_angle_beta 90.00
_cell_angle_gamma 90.00
loop_
_symmetry_equiv_pos_as_xyz
'x,y,z'
loop_
_atom_site_label
_atom_site_type_symbol
_atom_site_fract_x
_atom_site_fract_y
_atom_site_fract_z
_atom_site_occupancy
La1 La 0.1946 0.0582 0.1703 1
La2 La 0.1946 0.4418 0.1703 1
La3 La 0.3054 0.5582 0.6703 1
La4 La 0.3054 0.9418 0.6703 1
La5 La 0.6946 0.0582 0.3297 1
La6 La 0.6946 0.4418 0.3297 1
La7 La 0.8054 0.5582 0.8297 1
La8 La 0.8054 0.9418 0.8297 1
Nd1 Nd 0.0260 0.2500 0.6468 1
Nd2 Nd 0.4740 0.7500 0.1468 1
Nd3 Nd 0.5260 0.2500 0.8532 1
Nd4 Nd 0.9740 0.7500 0.3532 1
Cu1 Cu 0.1037 0.7500 0.9266 1
Cu2 Cu 0.3963 0.2500 0.4266 1
Cu3 Cu 0.6037 0.7500 0.5734 1
Cu4 Cu 0.8963 0.2500 0.0734 1

---

# PBE Ta2ReMo, relaxed
# Final energy, eV per atom: -12.094
# E_form, eV/atom: -0.3476
data_Ta2ReMo
_chemical_formula_sum 'Ta4 Re2 Mo2'
_symmetry_space_group_name_H-M 'P 1'
_symmetry_Int_Tables_number 1
_cell_length_a 5.5594
_cell_length_b 5.5594
_cell_length_c 4.5543
_cell_angle_alpha 90.00
_cell_angle_beta 90.00
_cell_angle_gamma 109.43
loop_
_symmetry_equiv_pos_as_xyz
'x,y,z'
loop_
_atom_site_label
_atom_site_type_symbol
_atom_site_fract_x
_atom_site_fract_y
_atom_site_fract_z
_atom_site_occupancy
Ta1 Ta 0.1248 0.3749 0.2500 1
Ta2 Ta 0.3749 0.1248 0.7500 1
Ta3 Ta 0.6251 0.8752 0.2500 1
Ta4 Ta 0.8752 0.6251 0.7500 1
Re1 Re 0.1249 0.8751 0.2500 1
Re2 Re 0.8751 0.1249 0.7500 1
Mo1 Mo 0.3748 0.6252 0.7500 1
Mo2 Mo 0.6252 0.3748 0.2500 1

---

# PBE LiSn2Te4, relaxed
# Final energy, eV per atom: -3.529
# E_form (uncorrected), kcal/mol of atoms: -7.29
data_LiSn2Te4
_chemical_formula_sum 'Li1 Sn2 Te4'
_symmetry_space_group_name_H-M 'P 1'
_symmetry_Int_Tables_number 1
_cell_length_a 4.2992
_cell_length_b 7.2692
_cell_length_c 7.6742
_cell_angle_alpha 111.88
_cell_angle_beta 106.05
_cell_angle_gamma 90.09
loop_
_symmetry_equiv_pos_as_xyz
'x,y,z'
loop_
_atom_site_label
_atom_site_type_symbol
_atom_site_fract_x
_atom_site_fract_y
_atom_site_fract_z
_atom_site_occupancy
Li1 Li 0.0000 0.0000 0.0000 1
Sn1 Sn 0.2714 0.2823 0.5458 1
Sn2 Sn 0.7286 0.7177 0.4542 1
Te1 Te 0.0884 0.4457 0.1704 1
Te2 Te 0.3703 0.0013 0.7391 1
Te3 Te 0.6297 0.9987 0.2609 1
Te4 Te 0.9116 0.5543 0.8296 1

---

Q: Which of these has the lowest final energy?
A: Ta2ReMo